Entry from Alexandria: a geometry-optimized BaSnBi3 structure (PBE).

abc: 6.9463 7.5403 10.0074
angles: 90.00 133.89 90.00
Last column: nearest neighbours and their distance in Å.
Space group Pc (No. 7)
Unique sites:
Ba 0.0000 0.2255 0.0000 [2 per cell]  3 Sn 3.65-3.93, 7 Bi 3.67-3.99
Sn 0.3311 0.4091 0.8312 [2 per cell]  5 Bi 3.04-3.23
Bi 0.2662 0.2596 0.5021 [2 per cell]  2 Sn 3.20-3.23, 3 Bi 3.28-3.46
Bi 0.6237 0.1195 0.1238 [2 per cell]  1 Sn 3.04
Bi 0.7387 0.2605 0.5022 [2 per cell]  2 Sn 3.20-3.23, 3 Bi 3.28-3.45

The calculation puts the density of states at the Fermi level at 2.95 states/eV/f.u. The calculation puts the formation energy at -27 kJ per mole of atoms. As for the crystal system: monoclinic.

***

Entry from Alexandria: a geometry-optimized BaTa2Sb structure (PBE).

abc: 3.5837 3.5837 8.1855
angles: 90.00 90.00 90.00
Last column: nearest neighbours and their distance in Å.
Space group P4mm (No. 99)
Unique sites:
Ba 0.0000 0.0000 0.0000 [1 per cell]  4 Ba 3.58, 4 Sb 3.64, 5 Ta 3.69-3.88
Ta 0.0000 0.0000 0.5254 [1 per cell]  4 Ta 2.80, 4 Sb 3.04
Ta 0.5000 0.5000 0.6718 [1 per cell]  4 Ta 2.80, 1 Sb 2.89
Sb 0.5000 0.5000 0.3193 [1 per cell]  5 Ta 2.89-3.04

The calculation puts the density of states at the Fermi level at 3.12 states/eV/f.u. The formation energy without anion corrections is 0.162 eV per atom. As for the crystal system: tetragonal.

***

Entry from Alexandria: a geometry-optimized SiNiSe2Br structure (PBE).

abc: 4.7065 4.7065 4.8635
angles: 90.00 90.00 90.00
Last column: nearest neighbours and their distance in Å.
Space group P4/mmm (No. 123)
Unique sites:
Si 0.0000 0.0000 0.0000 [1 per cell]  4 Br 3.33, 8 Se 3.38
Ni 0.5000 0.5000 0.5000 [1 per cell]  4 Se 2.35, 2 Br 2.43
Se 0.0000 0.5000 0.5000 [2 per cell]  2 Ni 2.35
Br 0.5000 0.5000 0.0000 [1 per cell]  2 Ni 2.43

The calculation puts the density of states at the Fermi level at 3.27 states/eV/f.u. The formation energy without anion corrections is 0.425 eV per atom. As for the crystal system: tetragonal.

***

Entry from Alexandria: a geometry-optimized Y2SnRu structure (PBE).

abc: 3.4082 3.4082 8.1412
angles: 90.00 90.00 90.00
Last column: nearest neighbours and their distance in Å.
Space group P4/mmm (No. 123)
Unique sites:
Y 0.0000 0.0000 0.2070 [2 per cell]  4 Ru 2.94
Sn 0.5000 0.5000 0.5000 [1 per cell]  8 Y 3.39, 4 Sn 3.41
Ru 0.5000 0.5000 0.0000 [1 per cell]  8 Y 2.94

The calculation puts the density of states at the Fermi level at 1.41 states/eV/f.u. The calculation puts the formation energy at -52 kJ per mole of atoms. As for the crystal system: tetragonal.

***

Entry from Alexandria: a geometry-optimized Pr2SmZn3 structure (PBE).

abc: 3.6872 3.6872 11.1017
angles: 90.00 90.00 90.00
Last column: nearest neighbours and their distance in Å.
Space group P4/mmm (No. 123)
Unique sites:
Pr 0.0000 0.0000 0.1695 [2 per cell]  8 Zn 3.22-3.23
Sm 0.0000 0.0000 0.5000 [1 per cell]  8 Zn 3.15
Zn 0.5000 0.5000 0.0000 [1 per cell]  8 Pr 3.22
Zn 0.5000 0.5000 0.3413 [2 per cell]  4 Sm 3.15, 4 Pr 3.23, 1 Zn 3.52

The calculation puts the density of states at the Fermi level at 7.77 states/eV/f.u. The calculation puts the formation energy at -29 kJ per mole of atoms. As for the crystal system: tetragonal.

***

Entry from Alexandria: a geometry-optimized LiSm2Sb structure (PBE).

abc: 7.4953 7.4953 7.4953
angles: 90.00 90.00 90.00
Last column: nearest neighbours and their distance in Å.
Space group Fm-3m (No. 225)
Unique sites:
Li 0.0000 0.0000 0.0000 [4 per cell]  8 Sm 3.25
Sm 0.2500 0.2500 0.2500 [8 per cell]  4 Li 3.25, 4 Sb 3.25
Sb 0.0000 0.0000 0.5000 [4 per cell]  8 Sm 3.25

The calculation puts the density of states at the Fermi level at 3.33 states/eV/f.u. The formation energy without anion corrections is -0.492 eV per atom. As for the crystal system: cubic.